Entry 1:
Crystalline GdGaCoNi at its relaxed geometry. Source: the Alexandria database, functional GGA-PBE.

Geometry as POSCAR:
```
GdGaCoNi
1.0
4.458 0.000 0.000
2.229 3.860 0.000
2.229 1.287 3.640
Ni Gd Co Ga
1 1 1 1
Cartesian
2.229 1.287 0.910
0.000 0.000 0.000
6.686 3.860 2.730
4.458 2.574 1.820
```

Results
- Total moment: 6.6 μB/cell
- Space-group type: F-43m (216)
- Calculated formation energy: -0.2605 eV per atom

=====

Entry 2:
Crystalline PrGdGaCo at its relaxed geometry. Source: the Alexandria database, functional GGA-PBE.

Geometry as POSCAR:
```
PrGdGaCo
1.0
-2.272 3.401 -2.976
-3.128 -1.536 -3.666
-4.976 0.804 0.419
Ga Co Gd Pr
1 1 1 1
Cartesian
-2.594 0.667 -1.556
-7.782 2.001 -4.667
0.000 0.000 0.000
-5.188 1.334 -3.111
```

Results
- Total moment: 8.0 μB/cell
- Space-group type: F-43m (216)
- Calculated formation energy: -0.2160 eV per atom

=====

Entry 3:
Crystalline GdPuGaCo at its relaxed geometry. Source: the Alexandria database, functional GGA-PBE.

Geometry as POSCAR:
```
GdPuGaCo
1.0
-2.264 0.813 -4.310
-0.166 -3.563 -3.412
-4.273 -2.256 -1.007
Pu Gd Ga Co
1 1 1 1
Cartesian
-3.352 -2.503 -4.364
0.000 0.000 0.000
-5.027 -3.754 -6.546
-1.676 -1.251 -2.182
```

Results
- Total moment: 11.4 μB/cell
- Space-group type: F-43m (216)
- Calculated formation energy: -0.1494 eV per atom

=====

Entry 4:
Crystalline GdScGaCo at its relaxed geometry. Source: the Alexandria database, functional GGA-PBE.

Geometry as POSCAR:
```
GdScGaCo
1.0
-2.787 2.716 -2.790
0.622 -0.018 -4.748
-3.271 -2.048 -2.835
Co Gd Sc Ga
1 1 1 1
Cartesian
-1.359 0.163 -2.593
0.000 0.000 0.000
-2.718 0.325 -5.186
-4.077 0.488 -7.780
```

Results
- Total moment: 7.8 μB/cell
- Space-group type: F-43m (216)
- Calculated formation energy: -0.3297 eV per atom